# PrGa4Ni2Ru

PrGa4Ni2Ru after structural relaxation (PBE, the Alexandria database).

- E (eV/atom) = -5.169

The structure in extended XYZ format:
```
8
Lattice="4.129 0.000 0.000 2.065 3.576 0.000 2.065 1.192 9.047" Properties=species:S:1:pos:R:3 pbc="T T T"
Pr 0.000 0.000 0.000
Ga 4.129 2.384 7.104
Ga 6.194 3.576 3.557
Ga 2.065 1.192 5.490
Ga 4.129 2.384 1.943
Ni 6.194 3.576 6.245
Ni 2.065 1.192 2.802
Ru 4.129 2.384 4.524
```

=====

# Pr2GaNiS5

Pr2GaNiS5 after structural relaxation (PBE, the Alexandria database).

- E (eV/atom) = -5.634
- ΔE_f (raw) (meV/atom) = -1300

The structure in extended XYZ format:
```
18
Lattice="-0.210 2.981 -2.436 3.738 -6.302 -4.983 -10.459 -3.515 -3.401" Properties=species:S:1:pos:R:3 pbc="T T T"
Pr -5.782 -4.818 -8.448
Pr -6.269 -3.456 -3.689
Pr -2.114 -2.343 -2.685
Pr 0.865 -2.868 -6.634
Ga -9.505 -2.560 -5.364
Ga -1.611 -5.683 -6.815
Ni -4.386 -2.989 -6.331
Ni 0.919 -2.683 -3.362
S -7.755 -6.933 -7.815
S -7.531 -3.194 -6.310
S -4.580 -7.527 -8.816
S -4.683 -5.076 -5.808
S -2.633 -4.847 -8.755
S -4.208 -1.595 -4.640
S -1.200 -4.247 -5.094
S -3.035 0.461 -2.225
S -0.143 -1.053 -4.327
S -0.275 -0.637 -0.756
```